Record 1
Below is crystalline AgPAuS2 at its relaxed geometry, with properties calculated at the PBE-GGA level.

Output
Magnetization: 0.000 μB per atom
E_form (uncorrected): 0.9240 eV per atom
N(E_F): 0.8692 states/eV/atom

a b c (Å): 5.036 5.036 4.604
angles (deg): 90.00 90.00 90.00
Atoms (fractional coordinates):
S: 0.000 0.500 0.000
P: 0.000 0.000 0.500
Au: 0.000 0.000 0.000
S: 0.500 0.000 0.000
Ag: 0.500 0.500 0.500



Record 2
Below is crystalline Cs2ZrTe at its relaxed geometry, with properties calculated at the PBE-GGA level.

Output
Magnetization: 0.989 μB per atom
E_form (uncorrected): 0.5499 eV per atom
N(E_F): 0.8288 states/eV/atom

a b c (Å): 6.428 6.428 6.428
angles (deg): 60.00 60.00 60.00
Last column: magnetic moment on the atom in μB.
Atoms (fractional coordinates):
Cs: 0.250 0.250 0.250  0.07
Cs: 0.750 0.750 0.750  0.07
Te: 0.500 0.500 0.500  0.00
Zr: 0.000 0.000 0.000  1.98



Record 3
Below is crystalline MnCrPCl2 at its relaxed geometry, with properties calculated at the PBE-GGA level.

Output
Magnetization: 1.580 μB per atom
E_form (uncorrected): 0.1604 eV per atom
N(E_F): 0.7261 states/eV/atom

a b c (Å): 4.668 4.668 4.864
angles (deg): 90.00 90.00 90.00
Last column: magnetic moment on the atom in μB.
Atoms (fractional coordinates):
Cr: 0.500 0.500 0.500  -4.17
Mn: 0.000 0.000 0.000  -3.56
Cl: 0.500 0.000 0.000  -0.02
Cl: 0.000 0.500 0.000  -0.02
P: 0.000 0.000 0.500  0.31



Record 4
Below is crystalline YCd2Ru at its relaxed geometry, with properties calculated at the PBE-GGA level.

Output
Magnetization: 0.000 μB per atom
N(E_F): 1.6355 states/eV/atom
E_form: 0.039 eV per atom

a b c (Å): 4.880 4.880 4.880
angles (deg): 60.00 60.00 60.00
Atoms (fractional coordinates):
Cd: 0.250 0.250 0.250
Y: 0.000 0.000 0.000
Cd: 0.750 0.750 0.750
Ru: 0.500 0.500 0.500